# 1
The following is a GGA-PBE calculation of a relaxed structure of CaNbPt2, from Alexandria.

## Properties
Mass density   11.64 g/cm3
E above lowest polymorph   179 meV/atom
E   -6.48 eV per atom
DOS at the Fermi energy   0.797 states/eV/atom

a b c (Å): 4.7261 4.7261 4.7261
angles (deg): 60.00 60.00 60.00
Element x y z (fractional)
Ca (0.0000, 0.0000, 0.0000)
Pt (0.2500, 0.2500, 0.2500)
Pt (0.7500, 0.7500, 0.7500)
Nb (0.5000, 0.5000, 0.5000)

=====

# 2
The following is a GGA-PBE calculation of a relaxed structure of TiMnW, from Alexandria.

## Properties
Mass density   10.58 g/cm3
E above lowest polymorph   258 meV/atom
E   -9.91 eV per atom
DOS at the Fermi energy   0.943 states/eV/atom

a b c (Å): 3.0480 6.2593 5.1208
angles (deg): 91.39 107.31 104.09
Element x y z (fractional)
Mn (0.5195, 0.1673, 0.8718)
W (0.1004, 0.4433, 0.7574)
W (0.8996, 0.5567, 0.2426)
Mn (0.4805, 0.8327, 0.1282)
Ti (0.7672, 0.8453, 0.6891)
Ti (0.2328, 0.1547, 0.3109)